DFT (PBE) results for a relaxed structure of ZrTiS4.

Cell lengths 5.686, 7.174, 7.215 Å; angles 120.39, 90.00, 90.00 degrees
Positions (direct):
1 Zr 0.000 0.500 0.500
2 Zr 0.500 0.000 0.500
3 Ti 0.500 0.500 0.000
4 Ti 0.000 0.000 0.000
5 S 0.259 0.820 0.156
6 S 0.241 0.320 0.156
7 S 0.737 0.655 0.317
8 S 0.237 0.845 0.683
9 S 0.763 0.155 0.317
10 S 0.263 0.345 0.683
11 S 0.759 0.680 0.844
12 S 0.741 0.180 0.844

Results
Total DFT energy (no corrections), eV/atom: -6.76
DOS at the Fermi energy, states/eV per cell: 0.1
Energy relative to the elements, uncorrected, eV/atom: -1.26

---

DFT (PBE) results for a relaxed structure of Ho2Er7.

Cell lengths 6.065, 6.065, 8.579 Å; angles 90.00, 90.00, 120.00 degrees
Positions (direct):
1 Ho 0.333 0.667 0.000
2 Ho 0.667 0.333 0.000
3 Er 0.000 0.000 0.000
4 Er 0.667 0.000 0.334
5 Er 0.000 0.667 0.334
6 Er 0.333 0.333 0.334
7 Er 0.000 0.333 0.666
8 Er 0.333 0.000 0.666
9 Er 0.667 0.667 0.666

Results
Energy relative to the elements, eV/atom: 0.027
Total DFT energy (no corrections), eV/atom: -4.54
DOS at the Fermi energy, states/eV per cell: 13.7
Distance to the lowest polymorph of the same formula, meV per atom: 0